[1]
6
Lattice="0.000 4.194 4.194 4.194 0.000 4.194 4.194 4.194 0.000" Properties=species:S:1:pos:R:3 comment="Sb4PtAu (meta-GGA SCAN, single point on PBEsol structure)" dos_at_fermi_per_ev_fu=2.7 e_form_raw_ev_per_atom=0.84 total_energy_ev_per_atom=-47.228 pbc="T T T"
Sb 3.150 3.150 3.150
Sb 5.238 5.238 3.150
Sb 5.238 3.150 5.238
Sb 3.150 5.238 5.238
Pt 0.000 0.000 0.000
Au 6.291 6.291 6.291

[2]
4
Lattice="1.840 1.063 7.701 -1.840 1.063 7.701 0.000 -2.125 7.701" Properties=species:S:1:pos:R:3 comment="MgSbS2 (meta-GGA SCAN, single point on PBEsol structure)" dos_at_fermi_per_ev_fu=1.3 e_form_raw_ev_per_atom=-0.63 total_energy_ev_per_atom=-16.002 pbc="T T T"
Mg 0.000 0.000 0.000
Sb 0.000 0.000 11.551
S 0.000 0.000 9.052
S 0.000 0.000 14.051

[3]
5
Lattice="-2.455 2.455 5.525 2.455 -2.455 5.525 2.455 2.455 -5.525" Properties=species:S:1:pos:R:3 comment="KGa2Sn2 (meta-GGA SCAN, single point on PBEsol structure)" dos_at_fermi_per_ev_fu=1.1 total_energy_ev_per_atom=-22.779 formation_energy_mev_per_atom=-207 pbc="T T T"
K 0.000 0.000 0.000
Ga 2.455 0.000 2.763
Ga 0.000 2.455 2.763
Sn 0.000 0.000 4.091
Sn 0.000 0.000 6.960

[4]
4
Lattice="2.627 0.000 0.000 0.000 3.723 0.000 0.000 0.000 5.199" Properties=species:S:1:pos:R:3 comment="NiRu2Rh (meta-GGA SCAN, single point on PBEsol structure)" dos_at_fermi_per_ev_fu=5.2 total_energy_ev_per_atom=-29.754 formation_energy_mev_per_atom=145 pbc="T T T"
Ni 0.000 0.000 0.000
Ru 1.313 1.862 1.233
Ru 1.313 1.862 3.966
Rh 0.000 0.000 2.599

[5]
4
Lattice="1.458 0.842 8.434 -1.458 0.842 8.434 0.000 -1.683 8.434" Properties=species:S:1:pos:R:3 comment="PIrAu2 (meta-GGA SCAN, single point on PBEsol structure)" dos_at_fermi_per_ev_fu=2.5 total_energy_ev_per_atom=-54.445 formation_energy_mev_per_atom=507 pbc="T T T"
P 0.000 0.000 0.000
Ir 0.000 0.000 12.651
Au 0.000 0.000 6.440
Au 0.000 0.000 18.862

[6]
36
Lattice="-2.564 2.564 16.938 2.564 -2.564 16.938 2.564 2.564 -16.938" Properties=species:S:1:pos:R:3 comment="Ca2YAsW2O12 (meta-GGA SCAN, single point on PBEsol structure)" dos_at_fermi_per_ev_fu=0.0 e_form_raw_ev_per_atom=-2.78 total_energy_ev_per_atom=-18.419 pbc="T T T"
Ca 2.564 -1.282 15.601
Ca 2.564 1.282 7.132
Ca 0.000 1.282 9.806
Ca 0.000 3.846 1.337
Y 2.564 1.282 -4.235
Y 0.000 1.282 21.173
As 0.000 1.282 4.235
As 2.564 1.282 12.704
W 2.564 -1.282 10.149
W 2.564 1.282 1.680
W 0.000 1.282 15.258
W 0.000 3.846 6.789
O 3.420 -0.169 2.422
O 1.451 -0.425 6.047
O 1.329 0.595 0.587
O 1.030 0.262 3.296
O 4.108 0.252 5.173
O 1.877 2.517 -9.056
O 1.451 2.138 -6.047
O 1.877 -0.047 9.056
O 0.857 -0.169 14.516
O 1.544 0.252 11.765
O 1.235 -0.595 17.525
O 1.030 2.826 -3.296
O 1.534 -0.262 20.234
O 1.329 3.159 -0.587
O 1.020 2.312 5.173
O 1.707 2.732 2.422
O 0.687 2.611 7.882
O 1.113 0.425 22.985
O 0.687 0.047 25.994
O -1.544 2.312 11.765
O 1.534 2.301 13.642
O 1.235 1.969 16.352
O 1.113 2.989 10.891
O -0.857 2.732 14.516

[7]
42
Lattice="-5.909 5.909 8.700 5.909 -5.909 8.700 5.909 5.909 -8.700" Properties=species:S:1:pos:R:3 comment="Nd11Sn10 (meta-GGA SCAN, single point on PBEsol structure)" dos_at_fermi_per_ev_fu=14.5 total_energy_ev_per_atom=-40.829 formation_energy_mev_per_atom=-895 pbc="T T T"
Nd 5.909 2.944 -3.299
Nd 3.889 0.000 1.777
Nd 7.929 0.000 1.777
Nd 0.000 0.000 2.874
Nd 5.909 -2.020 6.923
Nd 2.944 5.909 -3.299
Nd 2.966 0.000 5.400
Nd 3.836 3.836 0.000
Nd 2.073 -2.073 8.700
Nd 0.000 3.889 1.777
Nd 5.909 2.944 3.299
Nd 0.000 2.966 5.400
Nd 5.909 2.020 6.923
Nd -2.073 2.073 8.700
Nd 2.073 2.073 8.700
Nd 2.944 5.909 3.299
Nd 2.966 0.000 11.999
Nd 0.000 7.929 1.777
Nd 0.000 0.000 14.526
Nd -2.020 5.909 6.923
Nd 2.020 5.909 6.923
Nd 0.000 2.966 11.999
Sn 2.451 2.451 -3.082
Sn 3.458 -3.458 5.618
Sn 1.498 1.498 0.000
Sn 4.412 -4.412 8.700
Sn 5.909 1.674 0.000
Sn 5.909 0.000 4.350
Sn 2.451 2.451 3.082
Sn 3.458 -3.458 11.782
Sn 0.000 0.000 6.818
Sn 1.674 5.909 0.000
Sn 4.235 0.000 8.700
Sn 0.000 0.000 10.582
Sn -3.458 3.458 5.618
Sn 3.458 3.458 5.618
Sn 0.000 5.909 4.350
Sn 0.000 4.235 8.700
Sn -4.412 4.412 8.700
Sn 4.412 4.412 8.700
Sn -3.458 3.458 11.782
Sn 3.458 3.458 11.782

[8]
5
Lattice="4.704 0.000 0.000 0.000 4.704 0.000 0.000 0.000 4.704" Properties=species:S:1:pos:R:3 comment="TeOs3W (meta-GGA SCAN, single point on PBEsol structure)" dos_at_fermi_per_ev_fu=7.8 e_form_raw_ev_per_atom=2.34 total_energy_ev_per_atom=-62.180 pbc="T T T"
Te 0.000 0.000 0.000
Os 0.000 2.352 2.352
Os 2.352 0.000 2.352
Os 2.352 2.352 0.000
W 2.352 2.352 2.352